[1]
10
Lattice="5.124 0.000 0.000 0.000 5.124 0.000 0.000 0.000 12.197" Properties=species:S:1:pos:R:3 comment="Ba2TlAg3Bi4 (GGA-PBE, relaxed)" volume_a3_per_atom=32.0 sg=P-4m2 formation_enthalpy_0k_ev_per_atom=-0.3631 crystal_system=tetragonal pbc="T T T"
Ba 0.000 2.562 2.985
Ba 2.562 0.000 9.212
Tl 0.000 0.000 6.098
Ag 0.000 2.562 10.661
Ag 2.562 0.000 1.536
Ag 2.562 2.562 6.098
Bi 0.000 0.000 0.000
Bi 0.000 2.562 7.824
Bi 2.562 0.000 4.372
Bi 2.562 2.562 0.000

---

[2]
4
Lattice="1.556 -2.691 0.000 1.556 2.691 0.000 0.000 0.000 9.536" Properties=species:S:1:pos:R:3 comment="TcAs2Br (GGA-PBE, relaxed)" polymorph_energy_mev_per_atom=517.7 volume_a3_per_atom=20.0 sg=Cmm2 crystal_system=orthorhombic pbc="T T T"
Tc 0.000 0.000 0.000
As 0.000 0.000 4.338
As 1.556 0.000 1.890
Br 1.556 0.000 7.430

---

[3]
4
Lattice="0.000 3.497 3.497 3.497 0.000 3.497 3.497 3.497 0.000" Properties=species:S:1:pos:R:3 comment="LiYErSi (GGA-PBE, relaxed)" final_energy_ev_per_atom=-4.959 volume_a3_per_atom=21.4 sg=F-43m crystal_system=cubic pbc="T T T"
Li 0.000 0.000 0.000
Y 1.748 1.748 1.748
Er 5.245 5.245 5.245
Si 3.497 3.497 3.497

---

[4]
12
Lattice="6.184 0.000 0.000 -3.092 5.356 0.000 0.000 0.000 9.364" Properties=species:S:1:pos:R:3 comment="BaP2AuSe8 (GGA-PBE, relaxed)" final_energy_ev_per_atom=-3.979 volume_a3_per_atom=25.8 sg=P-3 crystal_system=trigonal pbc="T T T"
Ba 0.000 0.000 0.000
P 0.000 3.570 7.026
P 3.092 1.785 2.338
Au 0.000 0.000 4.682
Se -1.916 3.626 2.995
Se 0.910 1.883 2.995
Se 0.000 3.570 9.225
Se 2.086 0.153 6.369
Se 1.006 5.202 2.995
Se 3.092 1.785 0.140
Se 2.182 3.473 6.369
Se 5.008 1.729 6.369

---

[5]
19
Lattice="6.057 3.497 2.935 -6.057 3.497 2.935 0.000 -6.994 2.935" Properties=species:S:1:pos:R:3 comment="PmPd6Au12 (GGA-PBE, relaxed)" volume_a3_per_atom=19.6 sg=R-3m formation_enthalpy_0k_ev_per_atom=-0.0353 crystal_system=trigonal pbc="T T T"
Pm 0.000 0.000 0.000
Pd 0.000 -2.691 3.776
Pd -2.330 1.345 3.776
Pd -2.330 -1.345 5.030
Pd 2.330 1.345 3.776
Pd 2.330 -1.345 5.030
Pd 0.000 2.691 5.030
Au -1.547 -0.893 2.389
Au -2.335 -4.045 4.403
Au -4.671 0.000 4.403
Au 1.547 -0.893 2.389
Au 0.000 1.786 2.389
Au 2.335 -4.045 4.403
Au -2.335 4.045 4.403
Au 0.000 -1.786 6.417
Au -1.547 0.893 6.417
Au 4.671 0.000 4.403
Au 2.335 4.045 4.403
Au 1.547 0.893 6.417

---

[6]
5
Lattice="4.931 0.000 0.000 0.000 4.931 0.000 0.000 0.000 4.931" Properties=species:S:1:pos:R:3 comment="KBaOs3 (GGA-PBE, relaxed)" polymorph_energy_mev_per_atom=0.0 volume_a3_per_atom=24.0 sg=Pm-3m formation_enthalpy_0k_ev_per_atom=3.2661 crystal_system=cubic pbc="T T T"
K 0.000 0.000 0.000
Ba 2.465 2.465 2.465
Os 0.000 0.000 2.465
Os 0.000 2.465 0.000
Os 2.465 0.000 0.000

---

[7]
11
Lattice="-2.698 3.750 8.577 2.698 -3.750 8.577 2.698 3.750 -8.577" Properties=species:S:1:pos:R:3 comment="Tb2Ho8Tl (GGA-PBE, relaxed)" polymorph_energy_mev_per_atom=52.4 volume_a3_per_atom=31.6 sg=Immm formation_enthalpy_0k_ev_per_atom=0.0244 crystal_system=orthorhombic pbc="T T T"
Tb 0.000 0.000 3.316
Tb 0.000 0.000 13.839
Ho 2.698 1.738 -2.363
Ho 0.000 1.791 0.000
Ho 2.698 0.000 5.453
Ho 2.698 1.738 2.363
Ho 0.000 2.013 6.214
Ho 0.000 3.750 3.124
Ho 0.000 5.709 0.000
Ho 0.000 2.013 10.940
Tl 0.000 0.000 8.577

---

[8]
15
Lattice="6.575 -6.358 0.000 6.575 6.358 0.000 -3.305 0.000 5.741" Properties=species:S:1:pos:R:3 comment="Dy3Er8Tm4 (GGA-PBE, relaxed)" volume_a3_per_atom=32.0 sg=C2/m formation_enthalpy_0k_ev_per_atom=0.4172 crystal_system=monoclinic pbc="T T T"
Dy 0.000 0.000 0.000
Dy 3.288 3.179 0.000
Dy 3.288 -3.179 0.000
Er 4.923 4.575 2.870
Er -0.108 0.000 5.475
Er 1.540 0.000 2.760
Er 6.575 3.184 0.000
Er 6.575 -3.184 0.000
Er 8.306 0.000 2.981
Er 9.953 0.000 0.265
Er 4.923 -4.575 2.870
Tm 1.635 3.179 2.870
Tm 1.635 -3.179 2.870
Tm 6.575 0.000 0.000
Tm 4.923 0.000 2.870